Entry from the Alexandria database: a relaxed structure of K2ZnW (PBE).

As for the space-group type: P4/mmm, No. 123. The calculation puts the mass density at 5.7 g cm⁻³. As for the density of states at the Fermi level: 3.9 states/eV per cell. Its formation enthalpy at 0 K is 1478 meV/atom.

Cell lengths 4.0354, 4.0354, 5.8208 Å; angles 90.00, 90.00, 90.00 degrees
Sites, in units of the cell vectors:
K 0.0000 0.5000 0.0000
K 0.5000 0.0000 0.0000
Zn 0.0000 0.0000 0.5000
W 0.5000 0.5000 0.5000